Record 1
Computed, not measured: a geometry-optimized Te2As4Se3 structure at the PBE-GGA level of DFT.

Computed properties:
Space-group type: C2/c (15)
Uncorrected formation energy (eV per atom): 0.03

POSCAR file:
```
Te2As4Se3
1.0
4.9182 -6.9941 0.0000
4.9182 6.9941 0.0000
-3.3826 0.0000 9.8924
Te As Se
4 8 6
Cartesian
1.7380 2.3145 0.1843
0.0467 -2.3145 5.1305
6.4071 2.3145 4.7618
4.7158 -2.3145 9.7080
-0.7691 1.3717 7.7857
0.9222 -1.3717 2.8395
2.6295 0.4396 3.4070
0.9382 -0.4396 8.3532
5.5155 0.4396 1.5392
3.8242 -0.4396 6.4853
5.5315 1.3717 7.0529
7.2228 -1.3717 2.1067
2.3812 6.7348 7.4193
2.1738 1.1938 5.7694
2.5886 1.1938 9.0692
3.8651 -1.1938 0.8232
4.2799 -1.1938 4.1230
4.0725 -6.7348 2.4731
```

Record 2
Computed, not measured: a geometry-optimized Tl2CdPt structure at the PBE-GGA level of DFT.

Computed properties:
Space-group type: Pmmm (47)
Distance to the lowest polymorph of the same formula (eV per formula unit): 0.87
ΔE_f (kJ/mol of formula units): 54

POSCAR file:
```
Tl2CdPt
1.0
4.2597 0.0000 0.0000
0.0000 4.3325 0.0000
0.0000 0.0000 4.9912
Tl Cd Pt
2 1 1
Cartesian
0.0000 0.0000 0.0000
2.1298 0.0000 2.4956
0.0000 2.1662 2.4956
2.1298 2.1662 0.0000
```

Number 1: E_tot -3.90 eV/atom. Number 2: E_tot -2.78 eV/atom.